A geometry-optimized LaCoSb2 structure. Source: Alexandria via LeMat-Bulk, functional PBE.

Cell: 4.4161 4.4161 10.0667 Å, 90.00 90.00 90.00°
Closest atoms and distances in Å follow each position.
Sites, in units of the cell vectors:
La (0.0000, 0.5000, 0.7418)  4 Co 3.29, 8 Sb 3.33-3.41
La (0.5000, 0.0000, 0.2582)  4 Co 3.29, 8 Sb 3.33-3.41
Co (0.5000, 0.5000, 0.5000)  4 Sb 2.56
Co (0.0000, 0.0000, 0.5000)  4 Sb 2.56
Sb (0.5000, 0.5000, 0.0000)  4 Sb 3.12, 4 La 3.41
Sb (0.0000, 0.0000, 0.0000)  4 Sb 3.12, 4 La 3.41
Sb (0.0000, 0.5000, 0.3718)  4 Co 2.56
Sb (0.5000, 0.0000, 0.6282)  4 Co 2.56

Calculated values
Distance to the lowest polymorph of the same formula ... 0 meV per atom

***

A geometry-optimized LaCo2Sb structure. Source: Alexandria via LeMat-Bulk, functional PBE.

Cell: 3.2969 3.2969 7.1432 Å, 90.00 90.00 89.98°
Closest atoms and distances in Å follow each position.
Sites, in units of the cell vectors:
Co (0.0000, 0.0000, 0.0366)  4 Co 2.55-2.56, 4 Sb 2.78
Co (0.5000, 0.5000, 0.1831)  4 Co 2.55-2.56, 1 Sb 2.56
La (0.0000, 0.0000, 0.4562)  5 Co 3.00-3.04, 4 La 3.30
Sb (0.5000, 0.5000, 0.8241)  5 Co 2.56-2.78

***

A geometry-optimized LaCoSb2 structure. Source: Alexandria via LeMat-Bulk, functional PBE.

Cell: 3.6405 3.6405 7.1978 Å, 90.00 90.00 90.00°
Closest atoms and distances in Å follow each position.
Sites, in units of the cell vectors:
Co (0.0000, 0.0000, 0.4041)  5 Sb 2.63-2.66
La (0.5000, 0.5000, 0.7486)  5 Sb 3.17-3.32
Sb (0.0000, 0.0000, 0.0389)  1 Co 2.63
Sb (0.5000, 0.5000, 0.3084)  4 Co 2.66

Calculated values
Distance to the lowest polymorph of the same formula ... 520 meV per atom

***

A geometry-optimized LaCo2Sb structure. Source: Alexandria via LeMat-Bulk, functional PBE.

Cell: 4.2630 4.5450 4.5479 Å, 67.00 90.00 90.00°
Closest atoms and distances in Å follow each position.
Sites, in units of the cell vectors:
Co (0.0000, 0.0380, 0.0375)  2 Co 2.34, 2 La 2.55-2.56
Co (0.5000, 0.1658, 0.1660)  2 Co 2.34, 1 Sb 2.61
La (0.0000, 0.4745, 0.4741)  2 Co 2.55-2.56
Sb (0.5000, 0.8217, 0.8224)  5 Co 2.61-2.78

***

A geometry-optimized LaCo2Sb structure. Source: Alexandria via LeMat-Bulk, functional PBE.

Cell: 5.7031 5.7031 5.7031 Å, 139.85 139.85 58.08°
Closest atoms and distances in Å follow each position.
Sites, in units of the cell vectors:
Co (0.0000, 0.0000, 0.0000)  4 La 2.77
Co (0.2500, 0.7500, 0.5000)  4 Sb 2.77
La (0.5000, 0.5000, 0.0000)  4 Co 2.77
Sb (0.7500, 0.2500, 0.5000)  4 Co 2.77

***

A geometry-optimized LaCoSb2 structure. Source: Alexandria via LeMat-Bulk, functional PBE.

Cell: 4.6703 4.6703 4.4433 Å, 90.00 90.00 90.00°
Closest atoms and distances in Å follow each position.
Sites, in units of the cell vectors:
Co (0.5000, 0.0000, 0.5000)  8 Sb 3.22, 4 La 3.30
La (0.0000, 0.5000, 0.5000)  8 Sb 3.22, 4 Co 3.30
Sb (0.0000, 0.0000, 0.0000)  4 Co 3.22, 4 La 3.22, 4 Sb 3.30
Sb (0.5000, 0.5000, 0.0000)  4 La 3.22, 4 Co 3.22, 4 Sb 3.30

Calculated values
Distance to the lowest polymorph of the same formula ... 469 meV per atom

***

A geometry-optimized LaCoSb2 structure. Source: Alexandria via LeMat-Bulk, functional PBE.

Cell: 4.2970 5.2568 4.9478 Å, 72.90 90.00 90.00°
Closest atoms and distances in Å follow each position.
Sites, in units of the cell vectors:
Co (0.0000, 0.1918, 0.5222)  4 Sb 2.47-2.57
La (0.5000, 0.7924, 0.6585)  2 Co 2.94, 3 Sb 3.11-3.25
Sb (0.0000, 0.1028, 0.0400)  2 Co 2.47-2.56
Sb (0.5000, 0.4130, 0.2793)  2 Co 2.57

Calculated values
Distance to the lowest polymorph of the same formula ... 324 meV per atom

***

A geometry-optimized LaCoSb2 structure. Source: Alexandria via LeMat-Bulk, functional PBE.

Cell: 4.4284 4.4284 10.4838 Å, 102.19 102.19 89.99°
Closest atoms and distances in Å follow each position.
Sites, in units of the cell vectors:
La (0.1284, 0.1284, 0.2569)  4 Co 3.29, 8 Sb 3.33-3.39
La (0.8716, 0.8716, 0.7431)  4 Co 3.29, 8 Sb 3.33-3.39
Co (0.2501, 0.7501, 0.5000)  4 Sb 2.56
Co (0.7501, 0.2501, 0.5000)  4 Sb 2.56
Sb (0.3142, 0.3142, 0.6284)  4 Co 2.56
Sb (0.6858, 0.6858, 0.3716)  4 Co 2.56
Sb (0.9996, 0.4999, 0.0000)  4 Sb 3.13, 4 La 3.39
Sb (0.4999, 0.9996, 0.0000)  4 Sb 3.13, 4 La 3.39

Calculated values
Distance to the lowest polymorph of the same formula ... 9 meV per atom

***

| no. | raw formation energy (eV per atom) | VASP energy (eV per atom) |
| --- | --- | --- |
| 1 | -0.677 | -5.746 |
| 2 | 0.026 | -5.789 |
| 3 | -0.157 | -5.227 |
| 4 | -0.260 | -6.076 |
| 5 | 0.130 | -5.685 |
| 6 | -0.208 | -5.277 |
| 7 | -0.353 | -5.423 |
| 8 | -0.668 | -5.738 |